# GGA-PBEsol CrPtBr2, relaxed
data_CrPtBr2
_cell_length_a 3.117
_cell_length_b 3.117
_cell_length_c 8.111
_cell_angle_alpha 90.00
_cell_angle_beta 90.00
_cell_angle_gamma 90.00
_space_group_name_H-M_alt 'P 1'
_space_group_IT_number 1
_space_group_name_Hall 'P 1'
loop_
_atom_site_label
_atom_site_fract_x
_atom_site_fract_y
_atom_site_fract_z
_atom_site_occupancy
Cr1 0.000 0.000 0.000 1
Pt1 0.500 0.500 0.177 1
Br1 0.000 0.000 0.404 1
Br2 0.500 0.500 0.796 1
# space group	No. 99
# distance to the lowest polymorph of the same formula	0.128	eV per atom
# size of the total moment	2.23	μB/f.u.
# crystal system	tetragonal
# density	8.572	g/cm³
# raw formation energy	0.67	eV/f.u.

***

# GGA-PBEsol CrPtS2Br, relaxed
data_CrPtS2Br
_cell_length_a 4.645
_cell_length_b 4.645
_cell_length_c 5.074
_cell_angle_alpha 90.00
_cell_angle_beta 90.00
_cell_angle_gamma 90.00
_space_group_name_H-M_alt 'P 1'
_space_group_IT_number 1
_space_group_name_Hall 'P 1'
loop_
_atom_site_label
_atom_site_fract_x
_atom_site_fract_y
_atom_site_fract_z
_atom_site_occupancy
Cr1 0.000 0.000 0.000 1
Pt1 0.500 0.500 0.500 1
S1 0.000 0.500 0.500 1
S2 0.500 0.000 0.500 1
Br1 0.500 0.500 0.000 1
# space group	No. 123
# size of the total moment	3.43	μB/f.u.
# crystal system	tetragonal
# density	5.932	g/cm³
# raw formation energy	2.94	eV/f.u.

***

# GGA-PBEsol CrSiPt2Br, relaxed
data_CrSiPt2Br
_cell_length_a 4.437
_cell_length_b 4.437
_cell_length_c 5.281
_cell_angle_alpha 90.00
_cell_angle_beta 90.00
_cell_angle_gamma 90.00
_space_group_name_H-M_alt 'P 1'
_space_group_IT_number 1
_space_group_name_Hall 'P 1'
loop_
_atom_site_label
_atom_site_fract_x
_atom_site_fract_y
_atom_site_fract_z
_atom_site_occupancy
Cr1 0.000 0.000 0.000 1
Si1 0.500 0.500 0.500 1
Pt1 0.000 0.500 0.500 1
Pt2 0.500 0.000 0.500 1
Br1 0.500 0.500 0.000 1
# space group	No. 123
# size of the total moment	4.73	μB/f.u.
# crystal system	tetragonal
# density	8.789	g/cm³
# raw formation energy	2.77	eV/f.u.

***

# GGA-PBEsol Cr3ReBr, relaxed
data_Cr3ReBr
_cell_length_a 4.205
_cell_length_b 4.205
_cell_length_c 4.205
_cell_angle_alpha 90.00
_cell_angle_beta 90.00
_cell_angle_gamma 90.00
_space_group_name_H-M_alt 'P 1'
_space_group_IT_number 1
_space_group_name_Hall 'P 1'
loop_
_atom_site_label
_atom_site_fract_x
_atom_site_fract_y
_atom_site_fract_z
_atom_site_occupancy
Cr1 0.000 0.000 0.500 1
Cr2 0.000 0.500 0.000 1
Cr3 0.500 0.000 0.000 1
Re1 0.500 0.500 0.500 1
Br1 0.000 0.000 0.000 1
# space group	No. 221
# size of the total moment	0.01	μB/f.u.
# crystal system	cubic
# density	9.426	g/cm³
# raw formation energy	8.68	eV/f.u.

***

# GGA-PBEsol CrReBr2, relaxed
data_CrReBr2
_cell_length_a 8.317
_cell_length_b 8.317
_cell_length_c 8.317
_cell_angle_alpha 20.86
_cell_angle_beta 20.86
_cell_angle_gamma 20.86
_space_group_name_H-M_alt 'P 1'
_space_group_IT_number 1
_space_group_name_Hall 'P 1'
loop_
_atom_site_label
_atom_site_fract_x
_atom_site_fract_y
_atom_site_fract_z
_atom_site_occupancy
Cr1 0.000 0.000 0.000 1
Re1 0.500 0.500 0.500 1
Br1 0.256 0.256 0.256 1
Br2 0.744 0.744 0.744 1
# space group	No. 166
# distance to the lowest polymorph of the same formula	0.770	eV per atom
# size of the total moment	2.34	μB/f.u.
# crystal system	trigonal
# density	10.348	g/cm³
# raw formation energy	4.00	eV/f.u.

***

# GGA-PBEsol CrReBr2, relaxed
data_CrReBr2
_cell_length_a 4.495
_cell_length_b 4.495
_cell_length_c 3.229
_cell_angle_alpha 90.00
_cell_angle_beta 90.00
_cell_angle_gamma 90.00
_space_group_name_H-M_alt 'P 1'
_space_group_IT_number 1
_space_group_name_Hall 'P 1'
loop_
_atom_site_label
_atom_site_fract_x
_atom_site_fract_y
_atom_site_fract_z
_atom_site_occupancy
Cr1 0.000 0.000 0.000 1
Re1 0.500 0.500 0.000 1
Br1 0.000 0.500 0.500 1
Br2 0.500 0.000 0.500 1
# space group	No. 123
# distance to the lowest polymorph of the same formula	0.878	eV per atom
# size of the total moment	3.34	μB/f.u.
# crystal system	tetragonal
# density	10.128	g/cm³
# raw formation energy	4.44	eV/f.u.

***

# GGA-PBEsol CrRe2Br, relaxed
data_CrRe2Br
_cell_length_a 4.784
_cell_length_b 4.784
_cell_length_c 2.912
_cell_angle_alpha 90.00
_cell_angle_beta 90.00
_cell_angle_gamma 116.01
_space_group_name_H-M_alt 'P 1'
_space_group_IT_number 1
_space_group_name_Hall 'P 1'
loop_
_atom_site_label
_atom_site_fract_x
_atom_site_fract_y
_atom_site_fract_z
_atom_site_occupancy
Cr1 0.000 0.000 0.000 1
Re1 0.000 0.500 0.500 1
Re2 0.500 0.000 0.500 1
Br1 0.500 0.500 0.000 1
# space group	No. 65
# size of the total moment	1.69	μB/f.u.
# crystal system	orthorhombic
# density	13.979	g/cm³
# raw formation energy	4.85	eV/f.u.

***

# GGA-PBEsol CrReBr2, relaxed
data_CrReBr2
_cell_length_a 9.008
_cell_length_b 9.008
_cell_length_c 9.008
_cell_angle_alpha 20.69
_cell_angle_beta 20.69
_cell_angle_gamma 20.69
_space_group_name_H-M_alt 'P 1'
_space_group_IT_number 1
_space_group_name_Hall 'P 1'
loop_
_atom_site_label
_atom_site_fract_x
_atom_site_fract_y
_atom_site_fract_z
_atom_site_occupancy
Cr1 0.000 0.000 0.000 1
Re1 0.279 0.279 0.279 1
Br1 0.534 0.534 0.534 1
Br2 0.736 0.736 0.736 1
# space group	No. 160
# distance to the lowest polymorph of the same formula	0.000	eV per atom
# size of the total moment	0.00	μB/f.u.
# crystal system	trigonal
# density	8.276	g/cm³
# raw formation energy	0.92	eV/f.u.

***

What did the fourth record say?
# GGA-PBEsol Cr3ReBr, relaxed
data_Cr3ReBr
_cell_length_a 4.205
_cell_length_b 4.205
_cell_length_c 4.205
_cell_angle_alpha 90.00
_cell_angle_beta 90.00
_cell_angle_gamma 90.00
_space_group_name_H-M_alt 'P 1'
_space_group_IT_number 1
_space_group_name_Hall 'P 1'
loop_
_atom_site_label
_atom_site_fract_x
_atom_site_fract_y
_atom_site_fract_z
_atom_site_occupancy
Cr1 0.000 0.000 0.500 1
Cr2 0.000 0.500 0.000 1
Cr3 0.500 0.000 0.000 1
Re1 0.500 0.500 0.500 1
Br1 0.000 0.000 0.000 1
# space group	No. 221
# size of the total moment	0.01	μB/f.u.
# crystal system	cubic
# density	9.426	g/cm³
# raw formation energy	8.68	eV/f.u.

***

The highest density belongs to which entry?
CrRe2Br

***

Which value of raw formation energy does entry 7 give?
4.85 eV/f.u.

***

Please write out number 7 again, unchanged.
# GGA-PBEsol CrRe2Br, relaxed
data_CrRe2Br
_cell_length_a 4.784
_cell_length_b 4.784
_cell_length_c 2.912
_cell_angle_alpha 90.00
_cell_angle_beta 90.00
_cell_angle_gamma 116.01
_space_group_name_H-M_alt 'P 1'
_space_group_IT_number 1
_space_group_name_Hall 'P 1'
loop_
_atom_site_label
_atom_site_fract_x
_atom_site_fract_y
_atom_site_fract_z
_atom_site_occupancy
Cr1 0.000 0.000 0.000 1
Re1 0.000 0.500 0.500 1
Re2 0.500 0.000 0.500 1
Br1 0.500 0.500 0.000 1
# space group	No. 65
# size of the total moment	1.69	μB/f.u.
# crystal system	orthorhombic
# density	13.979	g/cm³
# raw formation energy	4.85	eV/f.u.